Crystalline Nd2CuGe3Ir4 at its relaxed geometry, computed with PBE.

## Properties
E_tot   -6.969 eV per atom
Formation energy from the elements   -0.676 eV per atom

a = 4.213 Å, b = 4.213 Å, c = 10.377 Å
α = 90.00°, β = 90.00°, γ = 90.00°
Fractional coordinates of all 10 atoms:
1 Ir 0.000 0.500 0.367
2 Ir 0.500 0.500 0.000
3 Ir 0.000 0.000 0.000
4 Ir 0.500 0.000 0.633
5 Nd 0.000 0.500 0.746
6 Nd 0.500 0.000 0.254
7 Ge 0.500 0.000 0.870
8 Ge 0.000 0.000 0.500
9 Ge 0.000 0.500 0.130
10 Cu 0.500 0.500 0.500